Density functional theory data (GGA-PBE) for an optimized crystal structure of Ta3GaF.

Properties
Formation energy without anion corrections (eV/atom): 0.173
Total magnetization (Bohr magnetons per cell): 0.00
Excess energy over the best structure of this formula in the dataset (meV per atom): 0

Unit cell a=4.310 b=4.310 c=4.310 alpha=90.00 beta=90.00 gamma=90.00
Space group Pm-3m (No. 221)
Inequivalent atoms, fractional coordinates:
Ta 0.000 0.000 0.500
Ga 0.500 0.500 0.500
F 0.000 0.000 0.000



Density functional theory data (GGA-PBE) for an optimized crystal structure of TaGa3F.

Properties
Formation energy without anion corrections (eV/atom): 0.410
Total magnetization (Bohr magnetons per cell): 2.37
Excess energy over the best structure of this formula in the dataset (meV per atom): 545

Unit cell a=5.147 b=5.147 c=5.147 alpha=90.00 beta=90.00 gamma=90.00
Space group Pm-3m (No. 221)
Inequivalent atoms, fractional coordinates:
Ta 0.000 0.000 0.000
Ga 0.000 0.000 0.500
F 0.500 0.500 0.500



Density functional theory data (GGA-PBE) for an optimized crystal structure of TaGaF2.

Properties
Formation energy without anion corrections (eV/atom): -0.515
Total magnetization (Bohr magnetons per cell): 0.00
Excess energy over the best structure of this formula in the dataset (meV per atom): 904

Unit cell a=5.969 b=5.969 c=5.969 alpha=90.00 beta=90.00 gamma=90.00
Space group Fm-3m (No. 225)
Inequivalent atoms, fractional coordinates:
Ta 0.000 0.000 0.000
Ga 0.000 0.000 0.500
F 0.250 0.250 0.250